## BaMn2As (PBE)

Data for a relaxed BaMn2As crystal.

Cell: 4.5693 4.5693 9.3485 Å, 90.00 90.00 90.00°
With the nearest neighbours (Å) after each atom.
Space group I4/mmm (No. 139)
Asymmetric unit:
Ba  0.0000  0.0000  0.0000 x2  4 As 3.23, 8 Mn 3.27
Mn  0.0000  0.5000  0.2500 x4  4 Mn 3.23, 4 Ba 3.27, 4 As 3.27
As  0.0000  0.0000  0.5000 x2  4 Ba 3.23, 8 Mn 3.27

Calculated formation energy = 502 meV per atom
Raw total energy = -0.21042 hartree per atom

---

## BaMn2As (PBE)

Data for a relaxed BaMn2As crystal.

Cell: 4.3640 4.1899 5.3976 Å, 90.00 90.07 90.00°
With the nearest neighbours (Å) after each atom.
Space group P2/m (No. 10)
Asymmetric unit:
Ba  0.0000  0.0000  0.0000 x1  4 As 3.47, 8 Mn 3.55
Mn  0.2192  0.5000  0.5002 x2  1 Mn 1.91
As  0.5000  0.0000  0.5000 x1  4 Mn 2.43

Calculated formation energy = 198 meV per atom
Raw total energy = -0.22158 hartree per atom

---

## BaMnAs3 (PBE)

Data for a relaxed BaMnAs3 crystal.

Cell: 4.8402 4.8402 4.8402 Å, 90.00 90.00 90.00°
With the nearest neighbours (Å) after each atom.
Space group Pm-3m (No. 221)
Asymmetric unit:
Ba  0.0000  0.0000  0.0000 x1  12 As 3.42
Mn  0.5000  0.5000  0.5000 x1  6 As 2.42
As  0.0000  0.5000  0.5000 x3  2 Mn 2.42

Calculated formation energy = -170 meV per atom
Raw total energy = -0.19031 hartree per atom
Excess energy over the best structure of this formula in the dataset = 0 kJ/mol of formula units

---

## BaMn2As (PBE)

Data for a relaxed BaMn2As crystal.

Cell: 3.4363 3.4363 7.5441 Å, 90.00 90.00 90.00°
With the nearest neighbours (Å) after each atom.
Space group P4/mmm (No. 123)
Asymmetric unit:
Ba  0.0000  0.0000  0.0000 x1  4 Ba 3.44, 8 Mn 3.50, 2 As 3.77
Mn  0.5000  0.5000  0.3348 x2  1 Mn 2.49, 4 As 2.73
As  0.0000  0.0000  0.5000 x1  8 Mn 2.73

Calculated formation energy = 336 meV per atom
Raw total energy = -0.21651 hartree per atom

---

## BaMnAs3 (PBE)

Data for a relaxed BaMnAs3 crystal.

Cell: 5.7194 5.7194 5.7194 Å, 90.00 90.00 90.00°
With the nearest neighbours (Å) after each atom.
Space group Pm-3m (No. 221)
Asymmetric unit:
Ba  0.0000  0.0000  0.0000 x1  6 As 2.86
Mn  0.5000  0.5000  0.5000 x1  12 As 4.04
As  0.0000  0.0000  0.5000 x3  2 Ba 2.86

Calculated formation energy = 2003 meV per atom
Raw total energy = -0.11043 hartree per atom
Excess energy over the best structure of this formula in the dataset = 1049 kJ/mol of formula units

---

## BaMn2As (PBE)

Data for a relaxed BaMn2As crystal.

Cell: 5.0040 5.0040 17.0320 Å, 90.00 90.00 90.00°
With the nearest neighbours (Å) after each atom.
Space group I4_1/amd (No. 141, origin choice 2)
Asymmetric unit:
Ba  0.0000  0.2500  0.3750 x4  8 Mn 3.52, 4 As 3.54
Mn  0.0000  0.0000  0.0000 x8  2 As 2.47, 2 Mn 2.50
As  0.0000  0.2500  0.8750 x4  4 Mn 2.47

Calculated formation energy = 102 meV per atom
Raw total energy = -0.22511 hartree per atom

---

What is the calculated formation energy in the third record?
-170 meV per atom

---

Copy entry 4 word for word.
## BaMn2As (PBE)

Data for a relaxed BaMn2As crystal.

Cell: 3.4363 3.4363 7.5441 Å, 90.00 90.00 90.00°
With the nearest neighbours (Å) after each atom.
Space group P4/mmm (No. 123)
Asymmetric unit:
Ba  0.0000  0.0000  0.0000 x1  4 Ba 3.44, 8 Mn 3.50, 2 As 3.77
Mn  0.5000  0.5000  0.3348 x2  1 Mn 2.49, 4 As 2.73
As  0.0000  0.0000  0.5000 x1  8 Mn 2.73

Calculated formation energy = 336 meV per atom
Raw total energy = -0.21651 hartree per atom

---

Number 2 is which compound?
BaMn2As

---

What is the formula in the second record?
BaMn2As